Compound: Ba3PuAg2O6
Source: Alexandria via LeMat-Bulk
Functional: GGA-PBE
Structure: optimized geometry

Computed properties:
V: 19.47 Å³ per atom
Energy relative to the elements, uncorrected: -2.013 eV/atom
Calculated density: 6.88 g/cm3

Cell lengths 6.1409, 6.1409, 7.1555 Å; angles 90.00, 90.00, 120.00 degrees
Positions (direct):
O 0.8411 0.6822 0.6698
Ba 0.3333 0.6667 0.6256
O 0.8411 0.1589 0.6698
Ag 0.6667 0.3333 0.8832
Ag 0.3333 0.6667 0.1168
O 0.6822 0.8411 0.3302
Pu 0.0000 0.0000 0.5000
O 0.3178 0.1589 0.6698
O 0.1589 0.8411 0.3302
Ba 0.0000 0.0000 0.0000
O 0.1589 0.3178 0.3302
Ba 0.6667 0.3333 0.3744